# 1
Ca3SnP3 (PBE, optimized geometry); space group = No. 62; energy = -128.31 eV for the cell shown; DFT formation energy = -5.8 eV per formula unit; crystal system = orthorhombic
1.0
11.785 0.000 0.000
0.000 4.115 0.000
0.000 0.000 14.377
Ca Sn P
12 4 12
direct
0.058 0.250 0.098
0.165 0.750 0.512
0.239 0.750 0.795
0.261 0.250 0.295
0.335 0.250 0.012
0.442 0.750 0.598
0.558 0.250 0.402
0.665 0.750 0.988
0.739 0.750 0.705
0.761 0.250 0.205
0.835 0.250 0.488
0.942 0.750 0.902
0.042 0.250 0.703
0.458 0.750 0.203
0.542 0.250 0.797
0.958 0.750 0.297
0.047 0.250 0.389
0.116 0.250 0.898
0.246 0.750 0.141
0.254 0.250 0.641
0.384 0.750 0.398
0.453 0.750 0.889
0.547 0.250 0.111
0.616 0.250 0.602
0.746 0.750 0.359
0.754 0.250 0.859
0.884 0.750 0.102
0.953 0.750 0.611



# 2
Ca2Sn2P (PBE, optimized geometry); space group = No. 127; energy = -38.87 eV for the cell shown; DFT formation energy = -2.0 eV per formula unit; crystal system = tetragonal
1.0
7.590 0.000 0.000
0.000 7.590 0.000
0.000 0.000 4.713
Ca Sn P
4 4 2
direct
0.171 0.329 0.000
0.329 0.829 0.000
0.671 0.171 0.000
0.829 0.671 0.000
0.136 0.636 0.500
0.364 0.136 0.500
0.636 0.864 0.500
0.864 0.364 0.500
0.000 0.000 0.500
0.500 0.500 0.500



# 3
CaSn3P (PBE, optimized geometry); space group = No. 221; energy = -18.91 eV for the cell shown; excess energy over the best structure of this formula in the dataset = 0.000 eV per atom; DFT formation energy = 0.5 eV per formula unit; crystal system = cubic
1.0
5.315 0.000 0.000
0.000 5.315 0.000
0.000 0.000 5.315
Ca Sn P
1 3 1
direct
0.000 0.000 0.000
0.000 0.500 0.500
0.500 0.000 0.500
0.500 0.500 0.000
0.500 0.500 0.500



# 4
CaSn3P (PBE, optimized geometry); space group = No. 221; energy = -13.75 eV for the cell shown; excess energy over the best structure of this formula in the dataset = 1.032 eV per atom; DFT formation energy = 5.7 eV per formula unit; crystal system = cubic
1.0
5.713 0.000 0.000
0.000 5.713 0.000
0.000 0.000 5.713
Ca Sn P
1 3 1
direct
0.000 0.000 0.000
0.000 0.000 0.500
0.000 0.500 0.000
0.500 0.000 0.000
0.500 0.500 0.500



# 5
Ca2SnP (PBE, optimized geometry); space group = No. 225; energy = -15.53 eV for the cell shown; excess energy over the best structure of this formula in the dataset = 0.208 eV per atom; DFT formation energy = -2.1 eV per formula unit; crystal system = cubic
1.0
0.000 3.717 3.717
3.717 0.000 3.717
3.717 3.717 0.000
Ca Sn P
2 1 1
direct
0.250 0.250 0.250
0.750 0.750 0.750
0.000 0.000 0.000
0.500 0.500 0.500



# 6
Ca8Sn2P (PBE, optimized geometry); space group = No. 12; energy = -34.99 eV for the cell shown; DFT formation energy = -5.6 eV per formula unit; crystal system = monoclinic
1.0
9.871 -2.584 0.000
9.871 2.584 0.000
-1.824 0.000 6.808
Ca Sn P
8 2 1
direct
0.025 0.025 0.291
0.218 0.218 0.800
0.353 0.353 0.536
0.408 0.408 0.078
0.592 0.592 0.922
0.647 0.647 0.464
0.782 0.782 0.200
0.975 0.975 0.709
0.185 0.185 0.229
0.815 0.815 0.771
0.500 0.500 0.500



# 7
Ca2SnP (PBE, optimized geometry); space group = No. 122; energy = -30.97 eV for the cell shown; excess energy over the best structure of this formula in the dataset = 0.219 eV per atom; DFT formation energy = -2.1 eV per formula unit; crystal system = tetragonal
1.0
-4.108 4.108 3.316
4.108 -4.108 3.316
4.108 4.108 -3.316
Ca Sn P
4 2 2
direct
0.076 0.625 0.951
0.375 0.326 0.451
0.674 0.125 0.049
0.875 0.924 0.549
0.250 0.750 0.500
0.500 0.500 0.000
0.000 0.000 0.000
0.750 0.250 0.500



# 8
Ca4Sn2P (PBE, optimized geometry); space group = No. 139; energy = -25.65 eV for the cell shown; DFT formation energy = -4.2 eV per formula unit; crystal system = tetragonal
1.0
-2.733 2.733 7.661
2.733 -2.733 7.661
2.733 2.733 -7.661
Ca Sn P
4 2 1
direct
0.000 0.500 0.500
0.178 0.178 0.000
0.500 0.000 0.500
0.822 0.822 0.000
0.383 0.383 0.000
0.617 0.617 0.000
0.000 0.000 0.000



# 9
Ca5SnP8 (PBE, optimized geometry); space group = No. 82; energy = -66.08 eV for the cell shown; DFT formation energy = -8.8 eV per formula unit; crystal system = tetragonal
1.0
-4.855 4.855 3.718
4.855 -4.855 3.718
4.855 4.855 -3.718
Ca Sn P
5 1 8
direct
0.000 0.000 0.000
0.118 0.475 0.944
0.525 0.469 0.643
0.531 0.174 0.056
0.826 0.882 0.357
0.250 0.750 0.500
0.016 0.787 0.662
0.124 0.353 0.338
0.203 0.152 0.747
0.213 0.876 0.229
0.405 0.456 0.253
0.544 0.797 0.949
0.647 0.984 0.771
0.848 0.595 0.051



# 10
Sr3Ca3Sn2P (PBE, optimized geometry); space group = No. 189; energy = -30.28 eV for the cell shown; DFT formation energy = -5.8 eV per formula unit; crystal system = hexagonal
1.0
8.449 0.000 0.000
-4.225 7.317 0.000
0.000 0.000 4.801
Sr Ca Sn P
3 3 2 1
direct
0.000 0.406 0.000
0.406 0.000 0.000
0.594 0.594 0.000
0.000 0.753 0.500
0.247 0.247 0.500
0.753 0.000 0.500
0.333 0.667 0.500
0.667 0.333 0.500
0.000 0.000 0.000



# 11
SrCa3P3 (PBE, optimized geometry); space group = No. 198; energy = -124.93 eV for the cell shown; DFT formation energy = -7.3 eV per formula unit; crystal system = cubic
1.0
8.882 0.000 0.000
0.000 8.882 0.000
0.000 0.000 8.882
Sr Ca P
4 12 12
direct
0.069 0.431 0.569
0.431 0.569 0.069
0.569 0.069 0.431
0.931 0.931 0.931
0.068 0.568 0.932
0.181 0.819 0.319
0.183 0.183 0.183
0.317 0.817 0.683
0.319 0.181 0.819
0.432 0.432 0.432
0.568 0.932 0.068
0.681 0.681 0.681
0.683 0.317 0.817
0.817 0.683 0.317
0.819 0.319 0.181
0.932 0.068 0.568
0.001 0.256 0.879
0.121 0.501 0.244
0.244 0.121 0.501
0.256 0.879 0.001
0.379 0.499 0.744
0.499 0.744 0.379
0.501 0.244 0.121
0.621 0.999 0.756
0.744 0.379 0.499
0.756 0.621 0.999
0.879 0.001 0.256
0.999 0.756 0.621



# 12
Sr2CaP (PBE, optimized geometry); space group = No. 10; energy = -12.70 eV for the cell shown; DFT formation energy = -1.9 eV per formula unit; crystal system = monoclinic
1.0
3.860 0.000 0.000
0.000 3.854 0.000
-0.014 0.000 9.942
Sr Ca P
2 1 1
direct
0.000 0.000 0.161
0.000 0.000 0.839
0.500 0.500 0.500
0.500 0.500 0.000



# 13
Sr3CaP (PBE, optimized geometry); space group = No. 221; energy = -7.57 eV for the cell shown; excess energy over the best structure of this formula in the dataset = 1.433 eV per atom; DFT formation energy = 4.9 eV per formula unit; crystal system = cubic
1.0
6.289 0.000 0.000
0.000 6.289 0.000
0.000 0.000 6.289
Sr Ca P
3 1 1
direct
0.000 0.000 0.500
0.000 0.500 0.000
0.500 0.000 0.000
0.000 0.000 0.000
0.500 0.500 0.500



# 14
Sr2Ca3P3 (PBE, optimized geometry); space group = No. 193; energy = -67.58 eV for the cell shown; DFT formation energy = -8.2 eV per formula unit; crystal system = hexagonal
1.0
8.438 0.000 0.000
-4.219 7.308 0.000
0.000 0.000 7.168
Sr Ca P
4 6 6
direct
0.333 0.667 0.000
0.333 0.667 0.500
0.667 0.333 0.000
0.667 0.333 0.500
0.000 0.254 0.250
0.000 0.746 0.750
0.254 0.000 0.250
0.254 0.254 0.750
0.746 0.000 0.750
0.746 0.746 0.250
0.000 0.387 0.750
0.000 0.613 0.250
0.387 0.000 0.750
0.387 0.387 0.250
0.613 0.000 0.250
0.613 0.613 0.750



# 15
Sr2CaP (PBE, optimized geometry); space group = No. 166; energy = -12.80 eV for the cell shown; DFT formation energy = -2.0 eV per formula unit; crystal system = trigonal
1.0
2.161 1.247 11.346
-2.161 1.247 11.346
0.000 -2.495 11.346
Sr Ca P
2 1 1
direct
0.119 0.119 0.119
0.881 0.881 0.881
0.000 0.000 0.000
0.500 0.500 0.500



# 16
Sr2CaP (PBE, optimized geometry); space group = No. 12; energy = -13.06 eV for the cell shown; DFT formation energy = -2.3 eV per formula unit; crystal system = monoclinic
1.0
3.768 -2.173 0.000
3.768 2.173 0.000
-2.481 0.000 10.649
Sr Ca P
2 1 1
direct
0.216 0.216 0.150
0.784 0.784 0.850
0.000 0.000 0.500
0.500 0.500 0.000



# 17
SrCa2P2 (PBE, optimized geometry); space group = No. 139; energy = -20.74 eV for the cell shown; excess energy over the best structure of this formula in the dataset = 0.293 eV per atom; DFT formation energy = -4.2 eV per formula unit; crystal system = tetragonal
1.0
-2.302 2.302 6.775
2.302 -2.302 6.775
2.302 2.302 -6.775
Sr Ca P
1 2 2
direct
0.000 0.000 0.000
0.250 0.750 0.500
0.750 0.250 0.500
0.372 0.372 0.000
0.628 0.628 0.000



# 18
Sr2CaP (PBE, optimized geometry); space group = No. 38; energy = -13.02 eV for the cell shown; DFT formation energy = -2.2 eV per formula unit; crystal system = orthorhombic
1.0
4.122 0.000 0.000
0.000 2.391 7.638
0.000 -2.391 7.638
Sr Ca P
2 1 1
direct
0.000 0.000 0.000
0.500 0.334 0.334
0.000 0.671 0.671
0.500 0.535 0.535



# 19
SrCa2P2 (PBE, optimized geometry); space group = No. 127; energy = -42.11 eV for the cell shown; excess energy over the best structure of this formula in the dataset = 0.229 eV per atom; DFT formation energy = -4.5 eV per formula unit; crystal system = tetragonal
1.0
8.191 0.000 0.000
0.000 8.191 0.000
0.000 0.000 3.872
Sr Ca P
2 4 4
direct
0.000 0.000 0.000
0.500 0.500 0.000
0.137 0.363 0.500
0.363 0.863 0.500
0.637 0.137 0.500
0.863 0.637 0.500
0.167 0.667 0.000
0.333 0.167 0.000
0.667 0.833 0.000
0.833 0.333 0.000



# 20
SrCa5P4 (PBE, optimized geometry); space group = No. 12; energy = -43.90 eV for the cell shown; DFT formation energy = -10.6 eV per formula unit; crystal system = monoclinic
1.0
8.547 -2.264 0.000
8.547 2.264 0.000
-0.504 0.000 7.259
Sr Ca P
1 5 4
direct
0.000 0.000 0.000
0.000 0.000 0.500
0.328 0.328 0.008
0.336 0.336 0.517
0.664 0.664 0.483
0.672 0.672 0.992
0.192 0.192 0.244
0.457 0.457 0.261
0.543 0.543 0.739
0.808 0.808 0.756



# 21
SrCa4P (PBE, optimized geometry); space group = No. 216; energy = -13.17 eV for the cell shown; DFT formation energy = 1.9 eV per formula unit; crystal system = cubic
1.0
0.000 4.873 4.873
4.873 0.000 4.873
4.873 4.873 0.000
Sr Ca P
1 4 1
direct
0.000 0.000 0.000
0.128 0.624 0.624
0.624 0.128 0.624
0.624 0.624 0.128
0.624 0.624 0.624
0.250 0.250 0.250



# 22
Sr5CaP4 (PBE, optimized geometry); space group = No. 71; energy = -42.19 eV for the cell shown; DFT formation energy = -10.1 eV per formula unit; crystal system = orthorhombic
1.0
-2.226 4.134 8.982
2.226 -4.134 8.982
2.226 4.134 -8.982
Sr Ca P
5 1 4
direct
0.000 0.000 0.000
0.068 0.336 0.732
0.397 0.664 0.732
0.603 0.336 0.268
0.932 0.664 0.268
0.500 0.000 0.500
0.210 0.210 0.000
0.265 0.500 0.765
0.735 0.500 0.235
0.790 0.790 0.000



# 23
SrCa3P (PBE, optimized geometry); space group = No. 221; energy = -6.84 eV for the cell shown; excess energy over the best structure of this formula in the dataset = 1.718 eV per atom; DFT formation energy = 6.3 eV per formula unit; crystal system = cubic
1.0
6.081 0.000 0.000
0.000 6.081 0.000
0.000 0.000 6.081
Sr Ca P
1 3 1
direct
0.000 0.000 0.000
0.000 0.000 0.500
0.000 0.500 0.000
0.500 0.000 0.000
0.500 0.500 0.500